A plane-wave DFT calculation with PBE with a Hubbard U was carried out for a relaxed structure of AcNb2VO8.

Properties
Raw total energy   -8.59 eV/atom
M_tot   2.000 μB/cell

abc: 5.4406 5.4406 7.2730
angles: 90.65 90.65 67.85
Fractional positions:
Ac 0.0000 0.0000 0.0000
Nb 0.3637 0.3637 0.7148
Nb 0.6363 0.6363 0.2852
V 0.0000 0.0000 0.5000
O 0.2141 0.7438 0.7083
O 0.2173 0.2173 0.5366
O 0.2562 0.7859 0.2917
O 0.2772 0.2772 0.9428
O 0.7228 0.7228 0.0572
O 0.7438 0.2141 0.7083
O 0.7827 0.7827 0.4634
O 0.7859 0.2562 0.2917